## CsTmTe3As (PBE)

Data for a relaxed structure of CsTmTe3As.

Calculated values
E_tot   -4.01 eV/atom
Crystal system   orthorhombic

Cell: 8.666 8.666 12.432 Å, 90.00 90.00 148.91°
Fractional coordinates of all 12 atoms:
As: 0.419 0.581 0.250
As: 0.581 0.419 0.750
Cs: 0.741 0.259 0.250
Cs: 0.259 0.741 0.750
Te: 0.379 0.621 0.020
Te: 0.004 0.996 0.250
Te: 0.379 0.621 0.480
Te: 0.621 0.379 0.520
Te: 0.996 0.004 0.750
Te: 0.621 0.379 0.980
Tm: 0.000 0.000 0.000
Tm: 0.000 0.000 0.500


## CsThAs (PBE)

Data for a relaxed structure of CsThAs.

Calculated values
E_tot   -3.24 eV/atom
Crystal system   cubic

Cell: 5.190 5.190 5.190 Å, 60.00 60.00 60.00°
Site moments in Bohr magnetons follow the coordinates.
Fractional coordinates of all 3 atoms:
As: 0.250 0.250 0.250  -0.01
Cs: 0.000 0.000 0.000  0.09
Th: 0.750 0.750 0.750  0.79